# LiThScIn GGA-PBE relaxed
# Space-group type: F-43m (216)
# Formation energy from the elements, meV per atom: -103
data_LiThScIn
_chemical_formula_sum 'Li1 Th1 Sc1 In1'
_cell_length_a 5.206
_cell_length_b 5.206
_cell_length_c 5.206
_cell_angle_alpha 60.00
_cell_angle_beta 60.00
_cell_angle_gamma 60.00
_symmetry_space_group_name_H-M 'P 1'
_symmetry_Int_Tables_number 1
loop_
_symmetry_equiv_pos_as_xyz
'x,y,z'
loop_
_atom_site_label
_atom_site_fract_x
_atom_site_fract_y
_atom_site_fract_z
_atom_site_occupancy
Li1 0.500 0.500 0.500 1
Th1 0.250 0.250 0.250 1
Sc1 0.750 0.750 0.750 1
In1 0.000 0.000 0.000 1

# InHgTe GGA-PBE relaxed
# Space-group type: P3m1 (156)
# Formation energy from raw total energies, eV per atom: -0.033
# Energy above the lowest structure with this stoichiometry, meV per atom: 129
data_InHgTe
_chemical_formula_sum 'In1 Hg1 Te1'
_cell_length_a 5.641
_cell_length_b 5.641
_cell_length_c 3.164
_cell_angle_alpha 90.00
_cell_angle_beta 90.00
_cell_angle_gamma 120.00
_symmetry_space_group_name_H-M 'P 1'
_symmetry_Int_Tables_number 1
loop_
_symmetry_equiv_pos_as_xyz
'x,y,z'
loop_
_atom_site_label
_atom_site_fract_x
_atom_site_fract_y
_atom_site_fract_z
_atom_site_occupancy
Te1 0.333 0.667 0.502 1
In1 0.667 0.333 0.504 1
Hg1 0.000 0.000 0.995 1

# BaBiC3 GGA-PBE relaxed
# Space-group type: Pm-3m (221)
# Formation energy from the elements, meV per atom: 3282
# Energy above the lowest structure with this stoichiometry, meV per atom: 993
data_BaBiC3
_chemical_formula_sum 'Ba1 Bi1 C3'
_cell_length_a 4.761
_cell_length_b 4.761
_cell_length_c 4.761
_cell_angle_alpha 90.00
_cell_angle_beta 90.00
_cell_angle_gamma 90.00
_symmetry_space_group_name_H-M 'P 1'
_symmetry_Int_Tables_number 1
loop_
_symmetry_equiv_pos_as_xyz
'x,y,z'
loop_
_atom_site_label
_atom_site_fract_x
_atom_site_fract_y
_atom_site_fract_z
_atom_site_occupancy
C1 0.000 0.500 0.000 1
C2 0.000 0.000 0.500 1
Ba1 0.000 0.000 0.000 1
C3 0.500 0.000 0.000 1
Bi1 0.500 0.500 0.500 1

What did the third record say?
# BaBiC3 GGA-PBE relaxed
# Space-group type: Pm-3m (221)
# Formation energy from the elements, meV per atom: 3282
# Energy above the lowest structure with this stoichiometry, meV per atom: 993
data_BaBiC3
_chemical_formula_sum 'Ba1 Bi1 C3'
_cell_length_a 4.761
_cell_length_b 4.761
_cell_length_c 4.761
_cell_angle_alpha 90.00
_cell_angle_beta 90.00
_cell_angle_gamma 90.00
_symmetry_space_group_name_H-M 'P 1'
_symmetry_Int_Tables_number 1
loop_
_symmetry_equiv_pos_as_xyz
'x,y,z'
loop_
_atom_site_label
_atom_site_fract_x
_atom_site_fract_y
_atom_site_fract_z
_atom_site_occupancy
C1 0.000 0.500 0.000 1
C2 0.000 0.000 0.500 1
Ba1 0.000 0.000 0.000 1
C3 0.500 0.000 0.000 1
Bi1 0.500 0.500 0.500 1